(one)
# TcMo2 | Alexandria via LeMat-Bulk | PBEsol | relaxed
data_TcMo2
_cell_length_a 3.105
_cell_length_b 3.105
_cell_length_c 9.278
_cell_angle_alpha 90.00
_cell_angle_beta 90.00
_cell_angle_gamma 90.00
_symmetry_space_group_name_H-M 'I 4/m m m'
_symmetry_Int_Tables_number 139
_symmetry_space_group_name_Hall '-I 4 2'
loop_
_atom_site_label
_atom_site_fract_x
_atom_site_fract_y
_atom_site_fract_z
Tc1 0.000 0.000 0.000
Mo1 0.000 0.000 0.332
# V: 14.9 Å³/atom
# magnetization: 0.001 μB per cell

***

(two)
# TcMo2 | Alexandria via LeMat-Bulk | PBEsol | relaxed
data_TcMo2
_cell_length_a 9.771
_cell_length_b 3.106
_cell_length_c 6.218
_cell_angle_alpha 90.00
_cell_angle_beta 108.77
_cell_angle_gamma 90.00
_symmetry_space_group_name_H-M 'C 1 2/m 1'
_symmetry_Int_Tables_number 12
loop_
_symmetry_equiv_pos_as_xyz
'x,y,z'
'-x,-y,-z'
'-x,y,-z'
'x,-y,z'
'x+1/2,y+1/2,z'
'-x+1/2,-y+1/2,-z'
'-x+1/2,y+1/2,-z'
'x+1/2,-y+1/2,z'
loop_
_atom_site_label
_atom_site_fract_x
_atom_site_fract_y
_atom_site_fract_z
Tc1 0.162 0.000 0.087
Mo1 0.006 0.500 0.750
Mo2 0.168 0.000 0.584
# V: 14.9 Å³/atom
# magnetization: 0.000 μB per cell

***

What is the stability order? It is (two), (one), from most stable to least stable.

***

(one)
# TcMo2 | Alexandria via LeMat-Bulk | PBEsol | relaxed
data_TcMo2
_cell_length_a 4.3627
_cell_length_b 4.3627
_cell_length_c 2.7089
_cell_angle_alpha 90.00
_cell_angle_beta 90.00
_cell_angle_gamma 120.00
_symmetry_space_group_name_H-M 'P -3 m 1'
_symmetry_Int_Tables_number 164
_symmetry_space_group_name_Hall '-P 3 2"'
loop_
_atom_site_label
_atom_site_fract_x
_atom_site_fract_y
_atom_site_fract_z
Tc1 0.0000 0.0000 0.0000
Mo1 0.3333 0.6667 0.3391
# V: 14.9 Å³/atom
# magnetization: 0.000 μB per cell

***

(two)
# TcMo2 | Alexandria via LeMat-Bulk | PBEsol | relaxed
data_TcMo2
_cell_length_a 4.136
_cell_length_b 4.136
_cell_length_c 3.040
_cell_angle_alpha 90.00
_cell_angle_beta 90.00
_cell_angle_gamma 90.00
_symmetry_space_group_name_H-M 'P 4/m m m'
_symmetry_Int_Tables_number 123
_symmetry_space_group_name_Hall '-P 4 2'
loop_
_atom_site_label
_atom_site_fract_x
_atom_site_fract_y
_atom_site_fract_z
Tc1 0.000 0.000 0.000
Mo1 0.000 0.500 0.500
# V: 17.3 Å³/atom
# magnetization: 0.000 μB per cell

***

(three)
# TcMo2 | Alexandria via LeMat-Bulk | PBEsol | relaxed
data_TcMo2
_cell_length_a 3.100
_cell_length_b 13.131
_cell_length_c 4.390
_cell_angle_alpha 90.00
_cell_angle_beta 90.00
_cell_angle_gamma 90.00
_symmetry_space_group_name_H-M 'C m c m'
_symmetry_Int_Tables_number 63
_symmetry_space_group_name_Hall '-C 2c 2'
loop_
_atom_site_label
_atom_site_fract_x
_atom_site_fract_y
_atom_site_fract_z
Tc1 0.000 0.081 0.250
Mo1 0.000 0.248 0.750
Mo2 0.000 0.416 0.250
# V: 14.9 Å³/atom
# magnetization: 0.000 μB per cell

***

What is the stability order? It is (three), (one), (two), from most stable to least stable.

***

(one)
# TcTe2Mo | Alexandria via LeMat-Bulk | PBEsol | relaxed
data_TcTe2Mo
_cell_length_a 4.174
_cell_length_b 4.174
_cell_length_c 8.443
_cell_angle_alpha 90.00
_cell_angle_beta 90.00
_cell_angle_gamma 90.00
_symmetry_space_group_name_H-M 'I -4 m 2'
_symmetry_Int_Tables_number 119
_symmetry_space_group_name_Hall 'I -4 -2'
loop_
_atom_site_label
_atom_site_fract_x
_atom_site_fract_y
_atom_site_fract_z
Tc1 0.000 0.000 0.000
Te1 0.000 0.000 0.500
Te2 0.000 0.500 0.250
Mo1 0.000 0.500 0.750
# V: 18.4 Å³/atom
# magnetization: 0.001 μB per cell

***

(two)
# TcTe2Mo | Alexandria via LeMat-Bulk | PBEsol | relaxed
data_TcTe2Mo
_cell_length_a 3.274
_cell_length_b 3.274
_cell_length_c 6.540
_cell_angle_alpha 90.00
_cell_angle_beta 90.00
_cell_angle_gamma 90.00
_symmetry_space_group_name_H-M 'P 4/m m m'
_symmetry_Int_Tables_number 123
_symmetry_space_group_name_Hall '-P 4 2'
loop_
_atom_site_label
_atom_site_fract_x
_atom_site_fract_y
_atom_site_fract_z
Tc1 0.000 0.000 0.000
Te1 0.500 0.500 0.251
Mo1 0.000 0.000 0.500
# V: 17.5 Å³/atom
# magnetization: 0.000 μB per cell

***

What is the stability order? It is (two), (one), from most stable to least stable.